A geometry-optimized CeTh4Sb5 structure. Source: Alexandria via LeMat-Bulk, functional PBE.

Cell lengths 4.508, 4.508, 31.836 Å; angles 90.00, 90.00, 90.00 degrees
Space group I4/mmm (No. 139)
Symmetry-distinct sites (fractional):
Ce 0.000 0.000 0.000 x2
Th 0.000 0.000 0.200 x4
Th 0.000 0.000 0.400 x4
Sb 0.000 0.000 0.100 x4
Sb 0.000 0.000 0.300 x4
Sb 0.000 0.000 0.500 x2

Values from the calculation:
Electronic total energy (eV/atom): -6.5624
Uncorrected formation energy (eV per atom): -0.940

A geometry-optimized SrCr3Ni structure. Source: Alexandria via LeMat-Bulk, functional PBE.

Cell lengths 5.016, 5.016, 5.016 Å; angles 90.00, 90.00, 90.00 degrees
Space group Pm-3m (No. 221)
Symmetry-distinct sites (fractional):
Sr 0.000 0.000 0.000 x1
Cr 0.000 0.000 0.500 x3
Ni 0.500 0.500 0.500 x1

Values from the calculation:
Energy relative to the elements (eV per atom): 2.69
Electronic total energy (eV/atom): -4.5780

A geometry-optimized TcAgAsBr2 structure. Source: Alexandria via LeMat-Bulk, functional PBE.

Cell lengths 5.220, 5.220, 5.222 Å; angles 90.00, 90.00, 90.00 degrees
Space group P4/mmm (No. 123)
Symmetry-distinct sites (fractional):
Tc 0.000 0.000 0.000 x1
Ag 0.500 0.500 0.500 x1
As 0.500 0.500 0.000 x1
Br 0.000 0.500 0.500 x2

Values from the calculation:
Electronic total energy (eV/atom): -3.1755
Uncorrected formation energy (eV per atom): 1.067

A geometry-optimized HoLuTlNi structure. Source: Alexandria via LeMat-Bulk, functional PBE.

Cell lengths 7.141, 7.141, 7.141 Å; angles 90.00, 90.00, 90.00 degrees
Space group F-43m (No. 216)
Symmetry-distinct sites (fractional):
Ho 0.000 0.000 0.000 x4
Lu 0.000 0.000 0.500 x4
Tl 0.250 0.250 0.750 x4
Ni 0.250 0.250 0.250 x4

Values from the calculation:
Energy relative to the elements (eV per atom): -0.26
Electronic total energy (eV/atom): -4.5726

A geometry-optimized FeSe structure. Source: Alexandria via LeMat-Bulk, functional PBE.

Cell lengths 3.6629, 3.6629, 14.9608 Å; angles 90.00, 90.00, 120.00 degrees
Space group P6_3/mmc (No. 194)
Symmetry-distinct sites (fractional):
Fe 0.3333 0.6667 0.1804 x4
Se 0.3333 0.6667 0.6271 x4

Values from the calculation:
Electronic total energy (eV/atom): -5.8326
Uncorrected formation energy (eV per atom): 0.141

A geometry-optimized Be2AsO4 structure. Source: Alexandria via LeMat-Bulk, functional PBE.

Cell lengths 3.944, 3.944, 8.941 Å; angles 90.00, 90.00, 90.00 degrees
Space group I4/mmm (No. 139)
Symmetry-distinct sites (fractional):
Be 0.000 0.000 0.136 x4
As 0.000 0.000 0.500 x2
O 0.000 0.000 0.295 x4
O 0.000 0.500 0.000 x4

Values from the calculation:
Electronic total energy (eV/atom): -5.5507
Uncorrected formation energy (eV per atom): -0.989

| no. | M_tot (μB per formula unit) | volume (Å³/atom) | theoretical density (Mg/m³) |
| --- | --- | --- | --- |
| 1 | 0.99 | 32.346 | 8.6 |
| 2 | 13.19 | 25.242 | 4.0 |
| 3 | 3.82 | 28.459 | 5.1 |
| 4 | 0.00 | 22.759 | 11.0 |
| 5 | 0.00 | 21.730 | 5.2 |
| 6 | 0.08 | 9.935 | 3.7 |